# 1
The following is a PBE calculation of a relaxed ErTiTl crystal, from Alexandria.

```
ErTiTl
1.0
3.4759 0.0000 0.0000
0.0000 4.9309 0.0000
0.0000 -2.4655 4.2703
Tl Ti Er
1 1 1
Direct
0.1659 0.0000 0.0000 Tl
0.1674 0.3333 0.6667 Ti
0.6667 0.6667 0.3333 Er
```

symmetry = No. 187
E_form = 78 meV per atom

# 2
The following is a PBE calculation of a relaxed Ac2Al2Tl crystal, from Alexandria.

```
Ac2Al2Tl
1.0
-4.2154 0.2543 -1.3266
-1.4317 -0.0291 4.5435
2.4708 7.0704 0.8239
Ac Al Tl
2 2 1
Direct
0.6300 0.5000 0.2602 Ac
0.3700 0.5000 0.7398 Ac
0.7984 0.0000 0.5968 Al
0.2016 0.0000 0.4032 Al
0.0000 0.0000 0.0000 Tl
```

symmetry = No. 10
E_form = -340 meV per atom

# 3
The following is a PBE calculation of a relaxed La6Nd2DyHo crystal, from Alexandria.

```
La6Nd2DyHo
1.0
9.0275 -1.5425 -1.6007
1.1548 8.8800 -1.8768
1.1548 -2.2046 8.8044
La Dy Nd Ho
12 2 4 2
Direct
0.5919 0.7776 0.0744 La
0.0919 0.0744 0.7776 La
0.8192 0.4665 0.0302 La
0.1808 0.5335 0.9698 La
0.6808 0.9698 0.5335 La
0.9058 0.2799 0.5715 La
0.4081 0.2224 0.9256 La
0.0942 0.7201 0.4285 La
0.3192 0.0302 0.4665 La
0.9081 0.9256 0.2224 La
0.4058 0.5715 0.2799 La
0.5942 0.4285 0.7201 La
0.7500 0.0667 0.9333 Dy
0.2500 0.9333 0.0667 Dy
0.0628 0.2945 0.2051 Nd
0.5628 0.2051 0.2945 Nd
0.9372 0.7055 0.7949 Nd
0.4372 0.7949 0.7055 Nd
0.2500 0.4309 0.5691 Ho
0.7500 0.5691 0.4309 Ho
```

symmetry = No. 15
E_form = 112 meV per atom

# 4
The following is a PBE calculation of a relaxed Sm9Ho2Th crystal, from Alexandria.

```
Sm9Ho2Th
1.0
5.0982 0.0000 0.0000
0.0000 5.0982 0.0000
0.0000 0.0000 15.3109
Th Sm Ho
1 9 2
Direct
0.0000 0.0000 0.0000 Th
0.0000 0.5000 0.8348 Sm
0.5000 0.0000 0.1652 Sm
0.5000 0.5000 0.3353 Sm
0.0000 0.5000 0.1652 Sm
0.5000 0.0000 0.8348 Sm
0.5000 0.5000 0.0000 Sm
0.0000 0.5000 0.5000 Sm
0.5000 0.5000 0.6647 Sm
0.5000 0.0000 0.5000 Sm
0.0000 0.0000 0.6663 Ho
0.0000 0.0000 0.3337 Ho
```

symmetry = No. 123
E_form = 31 meV per atom

# 5
The following is a PBE calculation of a relaxed Zn7Cu2Rh2 crystal, from Alexandria.

```
Zn7Cu2Rh2
1.0
-1.9296 0.6953 -2.3666
3.0199 -4.0070 -5.7117
-3.5708 -6.6202 -1.1056
Zn Cu Rh
7 2 2
Direct
0.6394 0.4654 0.2558 Zn
0.5000 0.9730 0.0270 Zn
0.8287 0.0446 0.2979 Zn
0.1713 0.7021 0.9554 Zn
0.3606 0.7442 0.5346 Zn
0.8481 0.5074 0.7965 Zn
0.1519 0.2035 0.4926 Zn
0.5000 0.2753 0.7247 Cu
0.0000 0.7052 0.2948 Cu
0.3079 0.3086 0.0755 Rh
0.6921 0.9245 0.6914 Rh
```

symmetry = No. 44
E_form = -107 meV per atom

# 6
The following is a PBE calculation of a relaxed RuPbSe crystal, from Alexandria.

```
RuPbSe
1.0
7.1055 0.0105 -0.0111
6.4041 3.0786 -0.0069
0.7015 0.1564 3.0640
Ru Pb Se
1 1 1
Direct
0.3076 0.3076 0.6924 Ru
0.9743 0.9743 0.0257 Pb
0.7182 0.7182 0.2818 Se
```

total energy = -5.433 eV per atom
symmetry = No. 107